A plane-wave DFT calculation with PBE was carried out for crystalline MgScGa at its relaxed geometry.

Cell lengths 3.1682, 3.1682, 6.4735 Å; angles 104.16, 104.16, 90.00 degrees
Last column: nearest neighbours and their distance in Å.
Fractional coordinates of all 3 atoms:
Sc 0.6331 0.6331 0.2662  4 Ga 2.87, 4 Sc 3.17
Mg 0.9356 0.9356 0.8711  4 Ga 2.92, 4 Mg 3.17
Ga 0.2814 0.2814 0.5627  4 Sc 2.87, 4 Mg 2.92, 4 Ga 3.17

Calculated values
density	3.8	Mg/m³
total DFT energy (no corrections)	-11.81	eV per cell
energy of formation from the pure elements	-286	meV per atom
DOS(E_F)	1.356	states/eV/cell
symmetry	I4mm, No. 107
calculated volume	61.0	Å³ per cell
crystal system	tetragonal

***

A plane-wave DFT calculation with PBE was carried out for crystalline Mg2ScGa at its relaxed geometry.

Cell lengths 7.9926, 7.9926, 6.3375 Å; angles 50.91, 50.91, 90.00 degrees
Last column: nearest neighbours and their distance in Å.
Fractional coordinates of all 8 atoms:
Sc 0.5000 0.5000 0.0000  2 Ga 2.87, 4 Mg 3.16
Sc 0.2500 0.7500 0.5000  2 Ga 2.87, 4 Mg 3.16
Mg 0.6675 0.1250 0.2500  2 Ga 2.69, 2 Mg 2.95
Mg 0.0825 0.6250 0.2500  2 Ga 2.69, 2 Mg 2.95
Mg 0.3750 0.3325 0.7500  2 Ga 2.69, 2 Mg 2.95
Mg 0.8750 0.9175 0.7500  2 Ga 2.69, 2 Mg 2.95
Ga 0.0000 0.0000 0.0000  4 Mg 2.69, 2 Sc 2.87
Ga 0.7500 0.2500 0.5000  4 Mg 2.69, 2 Sc 2.87

Calculated values
density	3.0	Mg/m³
total DFT energy (no corrections)	-24.77	eV per cell
energy of formation from the pure elements	40	meV per atom
DOS(E_F)	7.399	states/eV/cell
symmetry	I-42d, No. 122
calculated volume	183.2	Å³ per cell
crystal system	tetragonal

***

A plane-wave DFT calculation with PBE was carried out for crystalline MgSc3Ga at its relaxed geometry.

Cell lengths 4.7284, 4.7157, 9.8889 Å; angles 90.00, 76.17, 90.00 degrees
Last column: nearest neighbours and their distance in Å.
Fractional coordinates of all 10 atoms:
Mg 0.4778 0.7500 0.6927  8 Sc 2.98-3.01
Mg 0.1705 0.2500 0.3073  8 Sc 2.98-3.01
Sc 0.7646 0.2500 0.1191  2 Mg 2.98, 2 Ga 3.02, 4 Sc 3.25-3.28
Sc 0.3807 0.2500 0.8869  2 Mg 3.01, 2 Ga 3.06, 8 Sc 3.21-3.34
Sc 0.5739 0.2500 0.5006  4 Ga 2.95, 4 Mg 2.99-3.01
Sc 0.2676 0.7500 0.1131  2 Mg 3.01, 2 Ga 3.06, 8 Sc 3.21-3.34
Sc 0.8837 0.7500 0.8809  2 Mg 2.98, 2 Ga 3.02, 4 Sc 3.25-3.28
Sc 0.0745 0.7500 0.4994  4 Ga 2.95, 4 Mg 2.99-3.01
Ga 0.6665 0.7500 0.3154  8 Sc 2.95-3.06
Ga 0.9819 0.2500 0.6846  8 Sc 2.95-3.06

Calculated values
density	3.6	Mg/m³
energy above the most stable polymorph in this dataset	0	meV per atom
total DFT energy (no corrections)	-49.92	eV per cell
energy of formation from the pure elements	-269	meV per atom
DOS(E_F)	10.645	states/eV/cell
symmetry	Cmcm, No. 63
calculated volume	214.1	Å³ per cell
crystal system	orthorhombic

***

A plane-wave DFT calculation with PBE was carried out for crystalline MgSc4Ga3 at its relaxed geometry.

Cell lengths 4.7982, 4.7982, 8.3447 Å; angles 73.29, 73.29, 60.00 degrees
Last column: nearest neighbours and their distance in Å.
Fractional coordinates of all 8 atoms:
Sc 0.8705 0.8705 0.3886  7 Ga 2.91-3.06, 1 Mg 3.06
Sc 0.3812 0.3812 0.8564  5 Ga 2.81-2.90, 3 Mg 2.99
Sc 0.1295 0.1295 0.6114  7 Ga 2.91-3.06, 1 Mg 3.06
Sc 0.6188 0.6188 0.1436  5 Ga 2.81-2.90, 3 Mg 2.99
Mg 0.0000 0.0000 0.0000  8 Sc 2.99-3.06, 6 Ga 3.29
Ga 0.2585 0.2585 0.2245  8 Sc 2.84-3.06
Ga 0.7415 0.7415 0.7755  8 Sc 2.84-3.06
Ga 0.5000 0.5000 0.5000  8 Sc 2.81-2.91

Calculated values
density	4.4	Mg/m³
total DFT energy (no corrections)	-39.97	eV per cell
energy of formation from the pure elements	-496	meV per atom
DOS(E_F)	4.741	states/eV/cell
symmetry	R-3m, No. 166
calculated volume	156.9	Å³ per cell
crystal system	trigonal

***

A plane-wave DFT calculation with PBE was carried out for crystalline MgSc2Ga2 at its relaxed geometry.

Cell lengths 8.1590, 8.1590, 3.1569 Å; angles 90.00, 90.00, 90.00 degrees
Last column: nearest neighbours and their distance in Å.
Fractional coordinates of all 10 atoms:
Sc 0.3715 0.8715 0.0000  6 Ga 2.76-2.97, 1 Sc 2.97
Sc 0.8715 0.6285 0.0000  6 Ga 2.76-2.97, 1 Sc 2.97
Sc 0.6285 0.1285 0.0000  6 Ga 2.76-2.97, 1 Sc 2.97
Sc 0.1285 0.3715 0.0000  6 Ga 2.76-2.97, 1 Sc 2.97
Mg 0.0000 0.0000 0.0000  2 Mg 3.16, 4 Sc 3.21, 8 Ga 3.40
Mg 0.5000 0.5000 0.0000  2 Mg 3.16, 4 Sc 3.21, 8 Ga 3.40
Ga 0.1755 0.6755 0.5000  6 Sc 2.76-2.97
Ga 0.6755 0.8245 0.5000  6 Sc 2.76-2.97
Ga 0.8245 0.3245 0.5000  6 Sc 2.76-2.97
Ga 0.3245 0.1755 0.5000  6 Sc 2.76-2.97

Calculated values
density	4.0	Mg/m³
energy above the most stable polymorph in this dataset	232	meV per atom
total DFT energy (no corrections)	-43.43	eV per cell
energy of formation from the pure elements	-281	meV per atom
DOS(E_F)	6.392	states/eV/cell
symmetry	P4/mbm, No. 127
calculated volume	210.2	Å³ per cell
crystal system	tetragonal

***

A plane-wave DFT calculation with PBE was carried out for crystalline MgScGa at its relaxed geometry.

Cell lengths 4.6851, 4.6851, 4.6851 Å; angles 60.00, 60.00, 60.00 degrees
Last column: nearest neighbours and their distance in Å.
Fractional coordinates of all 3 atoms:
Sc 0.5000 0.5000 0.5000  4 Mg 2.87, 4 Ga 2.87
Mg 0.7500 0.7500 0.7500  4 Sc 2.87
Ga 0.2500 0.2500 0.2500  4 Sc 2.87

Calculated values
density	3.2	Mg/m³
total DFT energy (no corrections)	-10.27	eV per cell
energy of formation from the pure elements	227	meV per atom
DOS(E_F)	2.082	states/eV/cell
symmetry	F-43m, No. 216
calculated volume	72.7	Å³ per cell
crystal system	cubic

***

A plane-wave DFT calculation with PBE was carried out for crystalline MgScGa at its relaxed geometry.

Cell lengths 4.1339, 7.2288, 12.3949 Å; angles 90.00, 90.00, 90.00 degrees
Last column: nearest neighbours and their distance in Å.
Fractional coordinates of all 18 atoms:
Sc 0.0000 0.2157 0.9568  5 Ga 2.92-3.05
Sc 0.0000 0.7843 0.0432  5 Ga 2.92-3.05
Sc 0.0000 0.2157 0.5432  5 Ga 2.92-3.05
Sc 0.0000 0.7843 0.4568  5 Ga 2.92-3.05
Sc 0.0000 0.1404 0.2500  5 Ga 2.87-3.00
Sc 0.0000 0.8596 0.7500  5 Ga 2.87-3.00
Ga 0.5000 0.0610 0.0961  1 Ga 2.54, 2 Mg 2.69-2.73
Ga 0.5000 0.9390 0.9039  1 Ga 2.54, 2 Mg 2.69-2.73
Ga 0.5000 0.0610 0.4039  1 Ga 2.54, 2 Mg 2.69-2.73
Ga 0.5000 0.9390 0.5961  1 Ga 2.54, 2 Mg 2.69-2.73
Ga 0.0000 0.5548 0.2500  6 Mg 2.72-2.78, 1 Sc 3.00
Ga 0.0000 0.4452 0.7500  6 Mg 2.72-2.78, 1 Sc 3.00
Mg 0.5000 0.4370 0.1167  3 Ga 2.73-2.78, 1 Mg 3.03
Mg 0.5000 0.5630 0.8833  3 Ga 2.73-2.78, 1 Mg 3.03
Mg 0.5000 0.4370 0.3833  3 Ga 2.73-2.78, 1 Mg 3.03
Mg 0.5000 0.5630 0.6167  3 Ga 2.73-2.78, 1 Mg 3.03
Mg 0.5000 0.7990 0.2500  4 Ga 2.69-2.72
Mg 0.5000 0.2010 0.7500  4 Ga 2.69-2.72

Calculated values
density	3.7	Mg/m³
total DFT energy (no corrections)	-72.81	eV per cell
energy of formation from the pure elements	-394	meV per atom
DOS(E_F)	9.294	states/eV/cell
symmetry	Pmma, No. 51
calculated volume	370.4	Å³ per cell
crystal system	orthorhombic

***

A plane-wave DFT calculation with PBE was carried out for crystalline MgSc2Ga3 at its relaxed geometry.

Cell lengths 5.5365, 5.5365, 8.3990 Å; angles 102.94, 102.94, 108.71 degrees
Last column: nearest neighbours and their distance in Å.
Fractional coordinates of all 12 atoms:
Mg 0.6672 0.6672 0.3343  3 Ga 2.61-2.63
Mg 0.3328 0.3328 0.6657  3 Ga 2.61-2.63
Sc 0.2500 0.7500 0.5000  4 Mg 3.05, 8 Ga 3.06-3.07, 2 Sc 3.23
Sc 0.7545 0.7545 0.0000  10 Ga 3.00-3.09, 2 Mg 3.07, 2 Sc 3.17-3.28
Sc 0.7500 0.2500 0.5000  4 Mg 3.05, 8 Ga 3.06-3.07, 2 Sc 3.23
Sc 0.2455 0.2455 0.0000  10 Ga 3.00-3.09, 2 Mg 3.07, 2 Sc 3.17-3.28
Ga 0.3292 0.8358 0.1650  2 Ga 2.56, 1 Mg 2.63
Ga 0.1642 0.6708 0.8350  2 Ga 2.56, 1 Mg 2.63
Ga 0.6708 0.1642 0.8350  2 Ga 2.56, 1 Mg 2.63
Ga 0.8358 0.3292 0.1650  2 Ga 2.56, 1 Mg 2.63
Ga 0.1644 0.1644 0.3289  2 Ga 2.56, 1 Mg 2.61
Ga 0.8356 0.8356 0.6711  2 Ga 2.56, 1 Mg 2.61

Calculated values
density	4.8	Mg/m³
energy above the most stable polymorph in this dataset	0	meV per atom
total DFT energy (no corrections)	-52.25	eV per cell
energy of formation from the pure elements	-464	meV per atom
DOS(E_F)	6.874	states/eV/cell
symmetry	Fmmm, No. 69
calculated volume	225.1	Å³ per cell
crystal system	orthorhombic

***

A plane-wave DFT calculation with PBE was carried out for crystalline Mg2ScGa at its relaxed geometry.

Cell lengths 4.5642, 4.2010, 4.2010 Å; angles 90.00, 90.00, 90.00 degrees
Last column: nearest neighbours and their distance in Å.
Fractional coordinates of all 4 atoms:
Sc 0.5000 0.5000 0.5000  4 Ga 2.97, 8 Mg 3.10
Mg 0.0000 0.0000 0.5000  4 Mg 2.97, 4 Sc 3.10, 4 Ga 3.10
Mg 0.0000 0.5000 0.0000  4 Mg 2.97, 4 Sc 3.10, 4 Ga 3.10
Ga 0.5000 0.0000 0.0000  4 Sc 2.97, 8 Mg 3.10

Calculated values
density	3.4	Mg/m³
total DFT energy (no corrections)	-13.68	eV per cell
energy of formation from the pure elements	-283	meV per atom
DOS(E_F)	2.289	states/eV/cell
symmetry	P4/mmm, No. 123
calculated volume	80.6	Å³ per cell
crystal system	tetragonal

***

A plane-wave DFT calculation with PBE was carried out for crystalline MgSc2Ga9 at its relaxed geometry.

Cell lengths 4.1454, 4.1454, 12.4137 Å; angles 90.00, 90.00, 90.00 degrees
Last column: nearest neighbours and their distance in Å.
Fractional coordinates of all 12 atoms:
Mg 0.0000 0.0000 0.0000  12 Ga 2.93
Sc 0.0000 0.0000 0.3366  12 Ga 2.90-2.96
Sc 0.0000 0.0000 0.6634  12 Ga 2.90-2.96
Ga 0.5000 0.5000 0.0000  8 Ga 2.93, 4 Mg 2.93
Ga 0.5000 0.5000 0.3348  8 Ga 2.92-2.94, 4 Sc 2.93
Ga 0.5000 0.5000 0.6652  8 Ga 2.92-2.94, 4 Sc 2.93
Ga 0.5000 0.0000 0.1663  8 Ga 2.93-2.94, 2 Mg 2.93, 2 Sc 2.96
Ga 0.5000 0.0000 0.5000  4 Sc 2.90, 8 Ga 2.92-2.93
Ga 0.5000 0.0000 0.8337  8 Ga 2.93-2.94, 2 Mg 2.93, 2 Sc 2.96
Ga 0.0000 0.5000 0.1663  2 Mg 2.93, 8 Ga 2.93-2.94, 2 Sc 2.96
Ga 0.0000 0.5000 0.5000  4 Sc 2.90, 8 Ga 2.92-2.93
Ga 0.0000 0.5000 0.8337  2 Mg 2.93, 8 Ga 2.93-2.94, 2 Sc 2.96

Calculated values
density	5.8	Mg/m³
total DFT energy (no corrections)	-45.78	eV per cell
energy of formation from the pure elements	-357	meV per atom
DOS(E_F)	2.307	states/eV/cell
symmetry	P4/mmm, No. 123
calculated volume	213.3	Å³ per cell
crystal system	tetragonal